Entry 1:
DFT (GGA-PBEsol) results for a relaxed AsAu2N crystal.

Cell and atoms, written as POSCAR:
```
AsAu2N
1.0
0.000 3.089 3.089
3.089 0.000 3.089
3.089 3.089 0.000
As Au N
1 2 1
Cartesian
0.000 0.000 0.000
1.544 1.544 1.544
4.633 4.633 4.633
3.089 3.089 3.089
```

Summary:
**SG**: Fm-3m, No. 225
**Formation energy (no corrections)**: 1.10 eV/atom
**DOS(E_F)**: 1.8 states/eV/cell
**Size of the total moment**: 0.0 μB/cell


Entry 2:
DFT (GGA-PBEsol) results for a relaxed AsAu3N crystal.

Cell and atoms, written as POSCAR:
```
AsAu3N
1.0
4.348 0.000 0.000
0.000 4.348 0.000
0.000 0.000 4.348
As Au N
1 3 1
Cartesian
0.000 0.000 0.000
0.000 2.174 2.174
2.174 0.000 2.174
2.174 2.174 0.000
2.174 2.174 2.174
```

Summary:
**SG**: Pm-3m, No. 221
**Formation energy (no corrections)**: 0.88 eV/atom
**DOS(E_F)**: 3.0 states/eV/cell
**Size of the total moment**: 0.0 μB/cell


Entry 3:
DFT (GGA-PBEsol) results for a relaxed AsAu2N2 crystal.

Cell and atoms, written as POSCAR:
```
AsAu2N2
1.0
-2.738 2.738 2.686
2.738 -2.738 2.686
2.738 2.738 -2.686
As Au N
1 2 2
Cartesian
0.000 0.000 0.000
2.738 0.000 1.343
0.000 2.738 1.343
0.000 0.000 2.114
0.000 0.000 3.257
```

Summary:
**SG**: I4/mmm, No. 139
**Formation energy (no corrections)**: 0.69 eV/atom
**DOS(E_F)**: 1.1 states/eV/cell
**Size of the total moment**: 0.0 μB/cell


Entry 4:
DFT (GGA-PBEsol) results for a relaxed AsAuNO2 crystal.

Cell and atoms, written as POSCAR:
```
AsAuNO2
1.0
3.950 0.000 0.000
0.000 3.950 0.000
0.000 0.000 4.004
As Au N O
1 1 1 2
Cartesian
0.000 0.000 0.000
1.975 1.975 2.002
1.975 1.975 0.000
0.000 1.975 2.002
1.975 0.000 2.002
```

Summary:
**SG**: P4/mmm, No. 123
**Formation energy (no corrections)**: 1.00 eV/atom
**DOS(E_F)**: 1.4 states/eV/cell
**Size of the total moment**: 0.0 μB/cell


Entry 5:
DFT (GGA-PBEsol) results for a relaxed As2AuSeN crystal.

Cell and atoms, written as POSCAR:
```
As2AuSeN
1.0
4.388 0.000 0.000
0.000 4.388 0.000
0.000 0.000 4.197
As Au Se N
2 1 1 1
Cartesian
0.000 2.194 0.000
2.194 0.000 0.000
0.000 0.000 2.099
2.194 2.194 2.099
2.194 2.194 0.000
```

Summary:
**SG**: P4/mmm, No. 123
**Formation energy (no corrections)**: 0.75 eV/atom
**DOS(E_F)**: 2.1 states/eV/cell
**Size of the total moment**: 0.0 μB/cell


Entry 6:
DFT (GGA-PBEsol) results for a relaxed Na2As2Au crystal.

Cell and atoms, written as POSCAR:
```
Na2As2Au
1.0
6.666 0.000 0.000
0.000 6.666 0.000
0.000 0.000 4.761
Na As Au
4 4 2
Cartesian
1.151 2.182 0.000
2.182 5.515 0.000
4.484 1.151 0.000
5.515 4.484 0.000
0.899 4.232 2.380
2.434 0.899 2.380
4.232 5.767 2.380
5.767 2.434 2.380
0.000 0.000 2.380
3.333 3.333 2.380
```

Summary:
**SG**: P4/mbm, No. 127
**Formation enthalpy at 0 K**: -0.33 eV per atom
**DOS(E_F)**: 2.9 states/eV/cell
**Size of the total moment**: 0.0 μB/cell


- What is the size of the total moment in the fifth record?
  0.0 μB/cell


- Which formula does entry 6 have?
  Na2As2Au